# 1
## K5ReO5 (PBE)

Data for a relaxed K5ReO5 crystal.

abc: 6.3675 6.3675 7.0929
angles: 109.20 109.20 51.61
Closest atoms and distances in Å follow each position.
Fractional positions:
K (0.3367, 0.3260, 0.1655)  4 O 2.57-2.66
K (0.6507, 0.7161, 0.3254)  4 O 2.60-2.91
K (0.0009, 0.9991, 0.5000)  4 O 2.60-2.62
K (0.2839, 0.3493, 0.6746)  4 O 2.60-2.91
K (0.6740, 0.6633, 0.8345)  4 O 2.57-2.66
O (0.6049, 0.3951, 0.0000)  1 Re 1.85
O (0.9445, 0.8286, 0.1121)  1 Re 1.87
O (0.0872, 0.1878, 0.2773)  1 Re 2.02
O (0.8122, 0.9128, 0.7227)  1 Re 2.02
O (0.1714, 0.0555, 0.8879)  1 Re 1.87
Re (0.9394, 0.0606, 0.0000)  5 O 1.85-2.02

Properties
Space-group type: No. 5
Energy: -5.268 eV per atom


# 2
## HoLuZn2Sn2 (PBE)

Data for a relaxed HoLuZn2Sn2 crystal.

abc: 4.4774 4.4774 15.6077
angles: 90.00 90.00 120.00
Closest atoms and distances in Å follow each position.
Fractional positions:
Ho (0.0000, 0.0000, 0.0000)  6 Sn 3.13
Ho (0.0000, 0.0000, 0.5000)  6 Sn 3.13
Lu (0.0000, 0.0000, 0.2500)  6 Zn 2.93
Lu (0.0000, 0.0000, 0.7500)  6 Zn 2.93
Sn (0.6667, 0.3333, 0.1136)  3 Zn 2.69
Sn (0.6667, 0.3333, 0.3864)  3 Zn 2.69
Sn (0.3333, 0.6667, 0.6136)  3 Zn 2.69
Sn (0.3333, 0.6667, 0.8864)  3 Zn 2.69
Zn (0.3333, 0.6667, 0.1618)  3 Sn 2.69, 1 Zn 2.75, 3 Lu 2.93
Zn (0.3333, 0.6667, 0.3382)  3 Sn 2.69, 1 Zn 2.75, 3 Lu 2.93
Zn (0.6667, 0.3333, 0.6618)  3 Sn 2.69, 1 Zn 2.75, 3 Lu 2.93
Zn (0.6667, 0.3333, 0.8382)  3 Sn 2.69, 1 Zn 2.75, 3 Lu 2.93

Properties
Space-group type: No. 194
Excess energy over the best structure of this formula in the dataset: 0.000 eV/atom


# 3
## HfFeCuBi (PBE)

Data for a relaxed HfFeCuBi crystal.

abc: 4.6607 4.6607 4.6607
angles: 60.00 60.00 60.00
Closest atoms and distances in Å follow each position.
Fractional positions:
Bi (0.2500, 0.2500, 0.2500)  4 Hf 2.85, 4 Fe 2.85
Cu (0.7500, 0.7500, 0.7500)  4 Fe 2.85, 4 Hf 2.85
Fe (0.5000, 0.5000, 0.5000)  4 Cu 2.85, 4 Bi 2.85
Hf (0.0000, 0.0000, 0.0000)  4 Bi 2.85, 4 Cu 2.85

Properties
Space-group type: No. 216
Excess energy over the best structure of this formula in the dataset: 0.175 eV/atom


# 4
## SmCu2H4 (PBE)

Data for a relaxed SmCu2H4 crystal.

abc: 5.7765 5.7765 5.6229
angles: 119.02 119.02 93.06
Closest atoms and distances in Å follow each position.
Fractional positions:
Cu (0.0000, 0.0000, 0.0000)  4 H 1.71-1.82
Cu (0.0000, 0.5000, 0.0000)  4 H 1.70-1.82
Cu (0.0000, 0.0000, 0.5000)  4 H 1.71-1.82
Cu (0.5000, 0.0000, 0.5000)  4 H 1.70-1.82
H (0.7942, 0.6349, 0.1245)  2 Cu 1.70-1.82
H (0.9911, 0.3313, 0.1994)  2 Cu 1.71-1.82
H (0.6687, 0.0089, 0.3006)  2 Cu 1.71-1.82
H (0.3651, 0.2058, 0.3755)  2 Cu 1.70-1.82
H (0.6349, 0.7942, 0.6245)  2 Cu 1.70-1.82
H (0.3313, 0.9911, 0.6994)  2 Cu 1.71-1.82
H (0.0089, 0.6687, 0.8006)  2 Cu 1.71-1.82
H (0.2058, 0.3651, 0.8755)  2 Cu 1.70-1.82
Sm (0.6248, 0.3752, 0.2500)  8 H 2.28-2.29
Sm (0.3752, 0.6248, 0.7500)  8 H 2.28-2.29

Properties
Space-group type: No. 15
Energy: -3.799 eV per atom


# 5
## DyGeAs (PBE)

Data for a relaxed DyGeAs crystal.

abc: 4.7367 4.7367 4.7367
angles: 60.00 60.00 60.00
Closest atoms and distances in Å follow each position.
Fractional positions:
As (0.0000, 0.0000, 0.0000)  4 Dy 2.90, 4 Ge 2.90
Dy (0.2500, 0.2500, 0.2500)  4 As 2.90
Ge (0.7500, 0.7500, 0.7500)  4 As 2.90

Properties
Space-group type: No. 216
Excess energy over the best structure of this formula in the dataset: 0.000 eV/atom


# 6
## KCo2Se3 (PBE)

Data for a relaxed KCo2Se3 crystal.

abc: 7.2104 7.2104 5.3583
angles: 90.00 90.00 100.93
Closest atoms and distances in Å follow each position.
Fractional positions:
Co (0.3542, 0.3542, 0.0000)  4 Se 2.27-2.30
Co (0.6458, 0.6458, 0.0000)  4 Se 2.27-2.30
Co (0.3542, 0.3542, 0.5000)  4 Se 2.27-2.30
Co (0.6458, 0.6458, 0.5000)  4 Se 2.27-2.30
K (0.1711, 0.8289, 0.2500)  10 Se 3.36-3.71
K (0.8289, 0.1711, 0.7500)  10 Se 3.36-3.71
Se (0.0962, 0.3241, 0.2500)  2 Co 2.27
Se (0.6179, 0.3821, 0.2500)  4 Co 2.30
Se (0.6759, 0.9038, 0.2500)  2 Co 2.27
Se (0.3241, 0.0962, 0.7500)  2 Co 2.27
Se (0.3821, 0.6179, 0.7500)  4 Co 2.30
Se (0.9038, 0.6759, 0.7500)  2 Co 2.27

Properties
Space-group type: No. 63
Energy: -4.764 eV per atom


# 7
## MoPbS3 (PBE)

Data for a relaxed MoPbS3 crystal.

abc: 8.9098 3.7511 13.4622
angles: 90.00 90.00 90.00
Closest atoms and distances in Å follow each position.
Fractional positions:
Mo (0.8227, 0.7500, 0.0409)  6 S 2.41-2.56
Mo (0.3227, 0.7500, 0.4591)  6 S 2.41-2.56
Mo (0.6773, 0.2500, 0.5409)  6 S 2.41-2.56
Mo (0.1773, 0.2500, 0.9591)  6 S 2.41-2.56
Pb (0.5124, 0.2500, 0.1862)  4 S 2.75-3.08
Pb (0.0124, 0.2500, 0.3138)  4 S 2.75-3.08
Pb (0.9876, 0.7500, 0.6862)  4 S 2.75-3.08
Pb (0.4876, 0.7500, 0.8138)  4 S 2.75-3.08
S (0.3244, 0.7500, 0.0151)  2 Mo 2.41
S (0.9985, 0.2500, 0.0981)  3 Mo 2.46-2.56
S (0.7351, 0.7500, 0.2116)  1 Mo 2.43
S (0.2351, 0.7500, 0.2884)  1 Mo 2.43
S (0.4985, 0.2500, 0.4019)  3 Mo 2.46-2.56
S (0.8244, 0.7500, 0.4849)  2 Mo 2.41
S (0.1756, 0.2500, 0.5151)  2 Mo 2.41
S (0.5015, 0.7500, 0.5981)  3 Mo 2.46-2.56
S (0.7649, 0.2500, 0.7116)  1 Mo 2.43
S (0.2649, 0.2500, 0.7884)  1 Mo 2.43
S (0.0015, 0.7500, 0.9019)  3 Mo 2.46-2.56
S (0.6756, 0.2500, 0.9849)  2 Mo 2.41

Properties
Space-group type: No. 62
Excess energy over the best structure of this formula in the dataset: 0.000 eV/atom


# 8
## NdPaPd (PBE)

Data for a relaxed NdPaPd crystal.

abc: 4.8946 4.8946 4.8946
angles: 60.00 60.00 60.00
Closest atoms and distances in Å follow each position.
Fractional positions:
Nd (0.5000, 0.5000, 0.5000)  4 Pd 3.00
Pa (0.0000, 0.0000, 0.0000)  4 Pd 3.00
Pd (0.2500, 0.2500, 0.2500)  4 Nd 3.00, 4 Pa 3.00

Properties
Space-group type: No. 216
Excess energy over the best structure of this formula in the dataset: 0.000 eV/atom


Please write out number 3 again, unchanged.
## HfFeCuBi (PBE)

Data for a relaxed HfFeCuBi crystal.

abc: 4.6607 4.6607 4.6607
angles: 60.00 60.00 60.00
Closest atoms and distances in Å follow each position.
Fractional positions:
Bi (0.2500, 0.2500, 0.2500)  4 Hf 2.85, 4 Fe 2.85
Cu (0.7500, 0.7500, 0.7500)  4 Fe 2.85, 4 Hf 2.85
Fe (0.5000, 0.5000, 0.5000)  4 Cu 2.85, 4 Bi 2.85
Hf (0.0000, 0.0000, 0.0000)  4 Bi 2.85, 4 Cu 2.85

Properties
Space-group type: No. 216
Excess energy over the best structure of this formula in the dataset: 0.175 eV/atom